[1]
{
  "formula": "LiSeN2Cl",
  "functional": "GGA-PBEsol",
  "state": "relaxed",
  "rho_g_cm3": 3.08,
  "space_group": "P4/mmm (123)",
  "e_tot_ev_per_atom": -3.258,
  "cell": [[-1.365, 3.546, -1.100], [-3.155, -0.490, 2.335], [2.546, 2.190, 3.899]],
  "species": ["N", "N", "Li", "Se", "Cl"],
  "frac_coords": [[0.500, 0.000, 0.000], [0.000, 0.500, 0.000], [0.000, 0.000, 0.000], [0.000, 0.000, 0.500], [0.500, 0.500, 0.500]]
}

***

[2]
{
  "formula": "SrSiTe",
  "functional": "GGA-PBEsol",
  "state": "relaxed",
  "rho_g_cm3": 4.40,
  "space_group": "F-43m (216)",
  "e_tot_ev_per_atom": -3.877,
  "cell": [[-1.040, -0.634, 4.915], [-3.858, -2.961, 1.410], [0.911, -4.456, 2.227]],
  "species": ["Sr", "Te", "Si"],
  "frac_coords": [[0.000, 0.000, 0.000], [0.500, 0.500, 0.500], [0.250, 0.250, 0.250]]
}

***

[3]
{
  "formula": "CeGdN2",
  "functional": "GGA-PBEsol",
  "state": "relaxed",
  "rho_g_cm3": 8.90,
  "space_group": "P4/mmm (123)",
  "e_tot_ev_per_atom": -11.191,
  "cell": [[3.508, 0.000, 0.000], [0.000, 3.508, 0.000], [0.000, 0.000, 4.933]],
  "species": ["Ce", "Gd", "N", "N"],
  "frac_coords": [[0.500, 0.500, 0.500], [0.000, 0.000, 0.000], [0.000, 0.000, 0.500], [0.500, 0.500, 0.000]]
}

***

These records have formation energy without anion corrections values of 1.718, -0.173, -1.667 eV/atom, in the order they appear.